The following is a DFT calculation (PBE-GGA) of Ho5PaRu4 after structural relaxation.

Cell lengths 8.2307, 8.2307, 6.7994 Å; angles 110.76, 110.76, 32.88 degrees
With the nearest neighbours (Å) after each atom.
Sites, in units of the cell vectors:
Ho  0.0000  0.0000  0.0000  6 Ru 2.99-3.05
Ho  0.3293  0.3293  0.3159  5 Ru 2.88-3.05
Ho  0.3364  0.3364  0.8191  4 Ru 2.82-3.08
Ho  0.6636  0.6636  0.1809  4 Ru 2.82-3.08
Ho  0.6707  0.6707  0.6841  5 Ru 2.88-3.05
Pa  0.0000  0.0000  0.5000  6 Ru 2.73-2.78
Ru  0.1585  0.1585  0.4261  1 Pa 2.73, 6 Ho 2.88-3.05
Ru  0.4945  0.4945  0.7186  2 Pa 2.78, 5 Ho 2.82-3.00, 1 Ru 3.04
Ru  0.5055  0.5055  0.2814  2 Pa 2.78, 5 Ho 2.82-3.00, 1 Ru 3.04
Ru  0.8415  0.8415  0.5739  1 Pa 2.73, 6 Ho 2.88-3.05

Values from the calculation:
The symmetry is No. 12. For the formation energy, the calculation gives -0.37 eV/atom. The calculation puts the electronic total energy at -73.1 eV per cell. The calculated volume comes out at 23.2 A^3/atom. Its theoretical density is 10435 kg/m³.